[1]
5
Lattice="4.2007 0.0000 0.0000 0.0000 4.2007 0.0000 0.0000 0.0000 4.8841" Properties=species:S:1:pos:R:3 comment="HfTiBeCo2, optimized geometry, DFT PBE" ef_mev_per_atom=1233 spacegroup="P4/mmm (123)" final_energy_ev_per_atom=-5.925 pbc="T T T"
Hf 0.0000 0.0000 0.0000
Ti 0.0000 0.0000 2.4421
Be 2.1003 2.1003 0.0000
Co 0.0000 2.1003 2.4421
Co 2.1003 0.0000 2.4421



[2]
20
Lattice="8.8176 0.0000 0.0000 0.0000 8.8176 0.0000 0.0000 0.0000 3.1357" Properties=species:S:1:pos:R:3 comment="Hf2TiBe2Co5, optimized geometry, DFT PBE" ef_mev_per_atom=-472 spacegroup="P4/mbm (127)" final_energy_ev_per_atom=-7.551 pbc="T T T"
Hf 1.5489 2.8599 0.0000
Hf 2.8599 7.2687 0.0000
Hf 5.9577 1.5489 0.0000
Hf 7.2687 5.9577 0.0000
Ti 0.0000 0.0000 0.0000
Ti 4.4088 4.4088 0.0000
Be 1.0450 5.4538 0.0000
Be 3.3638 1.0450 0.0000
Be 5.4538 7.7727 0.0000
Be 7.7727 3.3638 0.0000
Co 0.0000 4.4088 1.5678
Co 0.6020 6.9220 1.5678
Co 1.8956 0.6020 1.5678
Co 2.5132 5.0108 1.5678
Co 3.8068 2.5132 1.5678
Co 4.4088 0.0000 1.5678
Co 5.0108 6.3045 1.5678
Co 6.3045 3.8068 1.5678
Co 6.9220 8.2156 1.5678
Co 8.2156 1.8956 1.5678



[3]
4
Lattice="0.0000 3.2312 3.2312 3.2312 0.0000 3.2312 3.2312 3.2312 0.0000" Properties=species:S:1:pos:R:3 comment="TmHfBeCo, optimized geometry, DFT PBE" ef_mev_per_atom=-84 spacegroup="F-43m (216)" final_energy_ev_per_atom=-6.399 pbc="T T T"
Tm 0.0000 0.0000 0.0000
Hf 3.2312 3.2312 3.2312
Be 4.8468 4.8468 4.8468
Co 1.6156 1.6156 1.6156



[4]
5
Lattice="4.7274 0.0000 0.0000 0.0000 4.7274 0.0000 0.0000 0.0000 4.0160" Properties=species:S:1:pos:R:3 comment="Hf2BeZnCo, optimized geometry, DFT PBE" ef_mev_per_atom=238 spacegroup="P4/mmm (123)" final_energy_ev_per_atom=-6.165 pbc="T T T"
Hf 0.0000 2.3637 0.0000
Hf 2.3637 0.0000 0.0000
Be 0.0000 0.0000 2.0080
Zn 2.3637 2.3637 2.0080
Co 0.0000 0.0000 0.0000



[5]
4
Lattice="-1.7274 1.7274 4.0086 1.7274 -1.7274 4.0086 1.7274 1.7274 -4.0086" Properties=species:S:1:pos:R:3 comment="Be2CoHg, optimized geometry, DFT PBE" ef_mev_per_atom=276 spacegroup="I-4m2 (119)" final_energy_ev_per_atom=-3.439 pbc="T T T"
Be 0.0000 0.0000 0.0000
Be 0.0000 1.7274 2.0043
Co 1.7274 0.0000 2.0043
Hg 0.0000 0.0000 4.0086



[6]
6
Lattice="0.0000 3.1200 3.1200 3.1200 0.0000 3.1200 3.1200 3.1200 0.0000" Properties=species:S:1:pos:R:3 comment="Be4CoHg, optimized geometry, DFT PBE" ef_mev_per_atom=65 spacegroup="F-43m (216)" final_energy_ev_per_atom=-3.654 pbc="T T T"
Be 2.3517 2.3517 2.3517
Be 3.8884 3.8884 2.3517
Be 3.8884 2.3517 3.8884
Be 2.3517 3.8884 3.8884
Co 4.6801 4.6801 4.6801
Hg 0.0000 0.0000 0.0000



[7]
4
Lattice="2.8377 0.0000 0.0000 0.0000 2.8377 0.0000 0.0000 0.0000 6.3300" Properties=species:S:1:pos:R:3 comment="BeCo2Hg, optimized geometry, DFT PBE" ef_mev_per_atom=194 relative_energy_kcal_per_mol_atoms=0.05 spacegroup="P4mm (99)" final_energy_ev_per_atom=-4.366 pbc="T T T"
Be 0.0000 0.0000 0.0000
Co 0.0000 0.0000 2.4136
Co 1.4189 1.4189 1.0376
Hg 1.4189 1.4189 4.4189



[8]
4
Lattice="4.1447 -1.4483 0.0000 4.1447 1.4483 0.0000 -1.2553 0.0000 3.9772" Properties=species:S:1:pos:R:3 comment="Be2CoHg, optimized geometry, DFT PBE" ef_mev_per_atom=265 spacegroup="Cm (8)" final_energy_ev_per_atom=-3.450 pbc="T T T"
Be 0.0000 0.0000 0.0000
Be 5.7961 0.0000 1.0213
Co 3.3704 0.0000 1.5430
Hg 1.0243 0.0000 2.9861